1.
{"formula": "NbCuSiTc", "functional": "PBE", "state": "relaxed", "lattice": [[0.0000, 3.0603, 3.0603], [3.0603, 0.0000, 3.0603], [3.0603, 3.0603, 0.0000]], "species": ["Nb", "Cu", "Si", "Tc"], "frac_coords": [[0.0000, 0.0000, 0.0000], [0.7500, 0.7500, 0.7500], [0.5000, 0.5000, 0.5000], [0.2500, 0.2500, 0.2500]], "spacegroup": "F-43m", "relative_energy_mev_per_atom": 0, "energy_ev_per_cell": -30.06}

---

2.
{"formula": "NbCuSiW", "functional": "PBE", "state": "relaxed", "lattice": [[0.0000, 3.1095, 3.1095], [3.1095, 0.0000, 3.1095], [3.1095, 3.1095, 0.0000]], "species": ["Nb", "Cu", "Si", "W"], "frac_coords": [[0.0000, 0.0000, 0.0000], [0.7500, 0.7500, 0.7500], [0.5000, 0.5000, 0.5000], [0.2500, 0.2500, 0.2500]], "spacegroup": "F-43m", "relative_energy_mev_per_atom": 0, "energy_ev_per_cell": -31.39}

---

3.
{"formula": "YNb2CuSi2", "functional": "PBE", "state": "relaxed", "lattice": [[3.9550, 0.0000, 0.0000], [0.0000, 3.9550, 0.0000], [0.0000, 0.0000, 7.1562]], "species": ["Y", "Nb", "Nb", "Cu", "Si", "Si"], "frac_coords": [[0.0000, 0.0000, 0.0000], [0.0000, 0.5000, 0.3746], [0.5000, 0.0000, 0.3746], [0.5000, 0.5000, 0.7040], [0.0000, 0.0000, 0.6200], [0.5000, 0.5000, 0.1107]], "spacegroup": "P4mm", "energy_ev_per_cell": -42.97}

---

4.
{"formula": "SmNbCu", "functional": "PBE", "state": "relaxed", "lattice": [[0.0000, 3.3010, 3.3010], [3.3010, 0.0000, 3.3010], [3.3010, 3.3010, 0.0000]], "species": ["Sm", "Nb", "Cu"], "frac_coords": [[0.0000, 0.0000, 0.0000], [0.2500, 0.2500, 0.2500], [0.7500, 0.7500, 0.7500]], "e_form_ev_per_atom": 1.31, "spacegroup": "F-43m", "relative_energy_mev_per_atom": 287, "energy_ev_per_cell": -14.60}

---

no.,density (Mg/m³)
1,8.18
2,10.17
3,5.85
4,7.08